No. 1
La6PrSn2 (PBE, optimized geometry); space group = C2/m (12); VASP energy = -43.555 eV/cell
1.0
6.694 -3.845 0.000
6.694 3.845 0.000
-0.013 0.000 5.744
La Pr Sn
6 1 2
Direct
0.115 0.692 0.764
0.307 0.307 0.238
0.308 0.885 0.236
0.692 0.115 0.764
0.693 0.693 0.762
0.885 0.308 0.236
0.500 0.500 0.500
0.167 0.167 0.733
0.833 0.833 0.267


No. 2
Sr3Zn2Bi3 (PBE, optimized geometry); space group = P-1 (2); VASP energy = -23.402 eV/cell
1.0
4.488 0.000 0.000
0.000 5.385 0.000
-2.163 -2.689 10.520
Sr Zn Bi
3 2 3
Direct
0.000 0.000 0.000
0.140 0.637 0.274
0.860 0.363 0.726
0.254 0.253 0.508
0.746 0.747 0.492
0.329 0.831 0.663
0.500 0.500 0.000
0.671 0.169 0.337


No. 3
Pr6Tl5In (PBE, optimized geometry); space group = C2/m (12); polymorph energy (0 for the lowest one) = 0.00 eV/f.u.
1.0
4.801 -8.357 0.000
4.801 8.357 0.000
-3.217 0.000 4.536
Pr Tl In
6 5 1
Direct
0.083 0.416 0.749
0.249 0.249 0.249
0.416 0.083 0.749
0.584 0.917 0.251
0.751 0.751 0.751
0.917 0.584 0.251
0.167 0.833 0.000
0.333 0.667 0.500
0.500 0.500 0.000
0.667 0.333 0.500
0.833 0.167 0.000
0.000 0.000 0.500


No. 4
DyGa4Cu2Tc (PBE, optimized geometry); space group = R-3m (166); VASP energy = -37.076 eV/cell
1.0
2.079 1.200 9.003
-2.079 1.200 9.003
0.000 -2.401 9.003
Dy Ga Cu Tc
1 4 2 1
Direct
0.000 0.000 0.000
0.130 0.130 0.130
0.400 0.400 0.400
0.600 0.600 0.600
0.870 0.870 0.870
0.234 0.234 0.234
0.766 0.766 0.766
0.500 0.500 0.500


No. 5
Ag2HgPSe4 (PBE, optimized geometry); space group = I-4 (82); ΔE_f (raw) = -0.035 eV/atom
1.0
6.079 0.000 0.000
0.000 6.079 0.000
0.000 0.000 11.823
Ag Hg P Se
4 2 2 8
Direct
0.000 0.000 0.000
0.000 0.500 0.250
0.500 0.000 0.750
0.500 0.500 0.500
0.000 0.000 0.500
0.500 0.500 0.000
0.000 0.500 0.750
0.500 0.000 0.250
0.225 0.267 0.864
0.233 0.725 0.636
0.267 0.775 0.136
0.275 0.233 0.364
0.725 0.767 0.364
0.733 0.225 0.136
0.767 0.275 0.636
0.775 0.733 0.864


No. 6
CaLa2Pd2 (PBE, optimized geometry); space group = P4/mbm (127); polymorph energy (0 for the lowest one) = 0.96 eV/f.u.
1.0
8.678 0.000 0.000
0.000 8.678 0.000
0.000 0.000 3.489
Ca La Pd
2 4 4
Direct
0.000 0.000 0.000
0.500 0.500 0.000
0.135 0.365 0.000
0.365 0.865 0.000
0.635 0.135 0.000
0.865 0.635 0.000
0.168 0.668 0.500
0.332 0.168 0.500
0.668 0.832 0.500
0.832 0.332 0.500


Number 1: DOS at the Fermi energy 1.14 states/eV/atom. Number 2: DOS at the Fermi energy 0.27 states/eV/atom. Number 3: DOS at the Fermi energy 0.79 states/eV/atom. Number 4: DOS at the Fermi energy 0.47 states/eV/atom. Number 5: DOS at the Fermi energy 0.38 states/eV/atom. Number 6: DOS at the Fermi energy 1.29 states/eV/atom.